First-principles (GGA-PBE) data for HfTa2Tc after structural relaxation, as listed in OQMD.

a = 4.6439 Å, b = 4.6439 Å, c = 4.6439 Å
α = 60.00°, β = 60.00°, γ = 60.00°
Last column: nearest neighbours and their distance in Å.
Positions (direct):
1 Hf 0.7500 0.7500 0.7500  4 Ta 2.84, 4 Tc 2.84
2 Ta 0.2500 0.2500 0.2500  4 Tc 2.84, 4 Ta 2.84
3 Ta 0.5000 0.5000 0.5000  4 Ta 2.84, 4 Hf 2.84
4 Tc 0.0000 0.0000 0.0000  4 Ta 2.84, 4 Hf 2.84

Properties
As for the volume: 70.8 Å³ per cell. The total energy comes out at -44.5 eV per cell. Its total magnetization is 0.00 μB/cell. The formation energy is -48 kJ/mol of formula units.